Entry from OQMD via LeMat-Bulk: a geometry-optimized RbCuPbSe3 structure (PBE). Values from VASP.

Summary:
E_tot ... -3.599 eV per atom
Calculated density ... 5.63 g/cm3
Crystal system ... orthorhombic

The structure in Quantum ESPRESSO input format:
```
&SYSTEM
  ibrav = 0, nat = 12, ntyp = 4
/
ATOMIC_SPECIES
Rb 85.47 Rb.upf
Cu 63.55 Cu.upf
Pb 207.20 Pb.upf
Se 78.96 Se.upf
CELL_PARAMETERS angstrom
2.0355 -7.4800 0.0000
2.0355 7.4800 0.0000
0.0000 0.0000 11.4907
ATOMIC_POSITIONS angstrom
Rb 2.0355 3.9637 8.6181
Rb 2.0355 -3.9637 2.8727
Cu 2.0355 6.6909 2.8727
Cu 2.0355 -6.6909 8.6181
Pb 2.0355 0.0000 0.0000
Pb 2.0355 0.0000 5.7454
Se 2.0355 5.5362 0.7455
Se 2.0355 5.5362 4.9999
Se 2.0355 0.6123 2.8727
Se 2.0355 -0.6123 8.6181
Se 2.0355 -5.5362 6.4909
Se 2.0355 -5.5362 10.7452
```